The following is a PBE calculation of crystalline GaAgAu5 at its relaxed geometry, from the Alexandria database.

Calculated values
space-group type = P4/mmm
volume = 130.30 Å³/cell
ΔH_f (0 K) = -76 meV/atom
energy above the most stable polymorph in this dataset = 0 meV per atom
theoretical density = 14.81 Mg/m³

Unit cell a=4.230 b=4.230 c=7.283 alpha=90.00 beta=90.00 gamma=90.00
Fractional positions:
Ga: 0.000 0.000 0.000
Ag: 0.500 0.500 0.500
Au: 0.000 0.000 0.500
Au: 0.000 0.500 0.217
Au: 0.000 0.500 0.783
Au: 0.500 0.000 0.217
Au: 0.500 0.000 0.783

---

The following is a PBE calculation of crystalline Ga6Ag12Au at its relaxed geometry, from the Alexandria database.

Calculated values
space-group type = R-3
volume = 356.89 Å³/cell
ΔH_f (0 K) = 52 meV/atom
theoretical density = 8.89 Mg/m³

Unit cell a=7.435 b=7.435 c=7.435 alpha=105.32 beta=105.32 gamma=105.32
Fractional positions:
Ga: 0.067 0.232 0.330
Ga: 0.232 0.330 0.067
Ga: 0.330 0.067 0.232
Ga: 0.670 0.933 0.768
Ga: 0.768 0.670 0.933
Ga: 0.933 0.768 0.670
Ag: 0.023 0.151 0.676
Ag: 0.151 0.676 0.023
Ag: 0.194 0.552 0.655
Ag: 0.324 0.977 0.849
Ag: 0.345 0.806 0.448
Ag: 0.448 0.345 0.806
Ag: 0.552 0.655 0.194
Ag: 0.655 0.194 0.552
Ag: 0.676 0.023 0.151
Ag: 0.806 0.448 0.345
Ag: 0.849 0.324 0.977
Ag: 0.977 0.849 0.324
Au: 0.500 0.500 0.500

---

The following is a PBE calculation of crystalline GaAg8Au6 at its relaxed geometry, from the Alexandria database.

Calculated values
space-group type = R-3
volume = 302.41 Å³/cell
ΔH_f (0 K) = 53 meV/atom
theoretical density = 11.61 Mg/m³

Unit cell a=7.297 b=7.297 c=7.297 alpha=64.60 beta=64.60 gamma=64.60
Fractional positions:
Ga: 0.000 0.000 0.000
Ag: 0.108 0.482 0.774
Ag: 0.226 0.892 0.518
Ag: 0.322 0.322 0.322
Ag: 0.482 0.774 0.108
Ag: 0.518 0.226 0.892
Ag: 0.678 0.678 0.678
Ag: 0.774 0.108 0.482
Ag: 0.892 0.518 0.226
Au: 0.062 0.728 0.361
Au: 0.272 0.639 0.938
Au: 0.361 0.062 0.728
Au: 0.639 0.938 0.272
Au: 0.728 0.361 0.062
Au: 0.938 0.272 0.639

---

The following is a PBE calculation of crystalline GaAg6Au at its relaxed geometry, from the Alexandria database.

Calculated values
space-group type = Cmmm
volume = 141.68 Å³/cell
ΔH_f (0 K) = -13 meV/atom
energy above the most stable polymorph in this dataset = 0 meV per atom
theoretical density = 10.71 Mg/m³

Unit cell a=5.845 b=5.845 c=4.148 alpha=90.00 beta=90.00 gamma=90.42
Fractional positions:
Ga: 0.000 0.000 0.000
Ag: 0.000 0.500 0.000
Ag: 0.247 0.247 0.500
Ag: 0.249 0.751 0.500
Ag: 0.500 0.000 0.000
Ag: 0.751 0.249 0.500
Ag: 0.753 0.753 0.500
Au: 0.500 0.500 0.000

---

The following is a PBE calculation of crystalline GaAg2Au4 at its relaxed geometry, from the Alexandria database.

Calculated values
space-group type = Cmmm
volume = 132.35 Å³/cell
ΔH_f (0 K) = -46 meV/atom
energy above the most stable polymorph in this dataset = 0 meV per atom
theoretical density = 13.47 Mg/m³

Unit cell a=5.632 b=5.632 c=4.178 alpha=90.00 beta=90.00 gamma=93.12
Fractional positions:
Ga: 0.000 0.000 0.000
Ag: 0.312 0.312 0.500
Ag: 0.688 0.688 0.500
Au: 0.000 0.500 0.000
Au: 0.203 0.797 0.500
Au: 0.500 0.000 0.000
Au: 0.797 0.203 0.500

---

The following is a PBE calculation of crystalline Ga2Ag4Au5 at its relaxed geometry, from the Alexandria database.

Calculated values
space-group type = Pbam
volume = 392.57 Å³/cell
ΔH_f (0 K) = -97 meV/atom
theoretical density = 13.16 Mg/m³

Unit cell a=7.499 b=17.807 c=2.940 alpha=90.00 beta=90.00 gamma=90.00
Fractional positions:
Ga: 0.046 0.187 0.000
Ga: 0.454 0.687 0.000
Ga: 0.546 0.313 0.000
Ga: 0.954 0.813 0.000
Ag: 0.066 0.647 0.000
Ag: 0.213 0.927 0.000
Ag: 0.287 0.427 0.000
Ag: 0.434 0.147 0.000
Ag: 0.566 0.853 0.000
Ag: 0.713 0.573 0.000
Ag: 0.787 0.073 0.000
Ag: 0.934 0.353 0.000
Au: 0.000 0.500 0.500
Au: 0.140 0.066 0.500
Au: 0.246 0.282 0.500
Au: 0.254 0.782 0.500
Au: 0.360 0.566 0.500
Au: 0.500 0.000 0.500
Au: 0.640 0.434 0.500
Au: 0.746 0.218 0.500
Au: 0.754 0.718 0.500
Au: 0.860 0.934 0.500

---

The following is a PBE calculation of crystalline GaAg2Au at its relaxed geometry, from the Alexandria database.

Calculated values
space-group type = R-3m
volume = 73.89 Å³/cell
ΔH_f (0 K) = 82 meV/atom
theoretical density = 10.84 Mg/m³

Unit cell a=10.233 b=10.233 c=10.233 alpha=16.33 beta=16.33 gamma=16.33
Fractional positions:
Ga: 0.000 0.000 0.000
Ag: 0.409 0.409 0.409
Ag: 0.591 0.591 0.591
Au: 0.500 0.500 0.500

---

The following is a PBE calculation of crystalline GaAg2Au at its relaxed geometry, from the Alexandria database.

Calculated values
space-group type = P4/mmm
volume = 70.23 Å³/cell
ΔH_f (0 K) = -47 meV/atom
theoretical density = 11.41 Mg/m³

Unit cell a=4.075 b=4.075 c=4.230 alpha=90.00 beta=90.00 gamma=90.00
Fractional positions:
Ga: 0.000 0.000 0.000
Ag: 0.000 0.500 0.500
Ag: 0.500 0.000 0.500
Au: 0.500 0.500 0.000

---

The following is a PBE calculation of crystalline GaAg2Au at its relaxed geometry, from the Alexandria database.

Calculated values
space-group type = I-42d
volume = 152.91 Å³/cell
ΔH_f (0 K) = 100 meV/atom
theoretical density = 10.48 Mg/m³

Unit cell a=5.965 b=5.965 c=5.965 alpha=101.87 beta=101.87 gamma=126.06
Fractional positions:
Ga: 0.000 0.000 0.000
Ga: 0.750 0.250 0.500
Ag: 0.107 0.625 0.982
Ag: 0.375 0.357 0.482
Ag: 0.643 0.125 0.018
Ag: 0.875 0.893 0.518
Au: 0.250 0.750 0.500
Au: 0.500 0.500 0.000

---

The following is a PBE calculation of crystalline GaAg2Au2 at its relaxed geometry, from the Alexandria database.

Calculated values
space-group type = Cmc2_1
volume = 184.11 Å³/cell
ΔH_f (0 K) = -56 meV/atom
energy above the most stable polymorph in this dataset = 27 meV per atom
theoretical density = 12.26 Mg/m³

Unit cell a=7.187 b=7.187 c=5.674 alpha=90.00 beta=90.00 gamma=141.09
Fractional positions:
Ga: 0.104 0.896 0.500
Ga: 0.896 0.104 0.000
Ag: 0.304 0.696 0.497
Ag: 0.500 0.500 0.248
Ag: 0.500 0.500 0.748
Ag: 0.696 0.304 0.997
Au: 0.087 0.913 0.999
Au: 0.310 0.690 0.998
Au: 0.690 0.310 0.498
Au: 0.913 0.087 0.499

---

The following is a PBE calculation of crystalline GaAg4Au4 at its relaxed geometry, from the Alexandria database.

Calculated values
space-group type = I4/mmm
volume = 159.94 Å³/cell
ΔH_f (0 K) = -48 meV/atom
theoretical density = 13.38 Mg/m³

Unit cell a=6.487 b=6.487 c=6.487 alpha=96.19 beta=96.19 gamma=141.65
Fractional positions:
Ga: 0.000 0.000 0.000
Ag: 0.335 0.335 0.670
Ag: 0.335 0.665 0.000
Ag: 0.665 0.335 0.000
Ag: 0.665 0.665 0.330
Au: 0.000 0.329 0.329
Au: 0.000 0.671 0.671
Au: 0.329 0.000 0.329
Au: 0.671 0.000 0.671

---

The following is a PBE calculation of crystalline Ga2Ag3Au7 at its relaxed geometry, from the Alexandria database.

Calculated values
space-group type = P-1
volume = 227.79 Å³/cell
ΔH_f (0 K) = -53 meV/atom
energy above the most stable polymorph in this dataset = 0 meV per atom
theoretical density = 13.43 Mg/m³

Unit cell a=5.057 b=5.302 c=9.289 alpha=85.15 beta=82.03 gamma=67.54
Fractional positions:
Ga: 0.091 0.072 0.211
Ga: 0.909 0.928 0.789
Ag: 0.450 0.457 0.829
Ag: 0.500 0.500 0.500
Ag: 0.550 0.543 0.171
Au: 0.000 0.000 0.500
Au: 0.005 0.262 0.947
Au: 0.037 0.512 0.343
Au: 0.436 0.977 0.685
Au: 0.564 0.023 0.315
Au: 0.963 0.488 0.657
Au: 0.995 0.738 0.053